Entry 1:
Crystalline Li10Cr3Fe3Ni2O16 at its relaxed geometry. Source: Alexandria via LeMat-Bulk, functional GGA+U.

## Properties
Raw total energy   -0.215 Ha/atom
M_tot   18.00 μB per formula unit
Crystal system   triclinic
Symmetry   P1, No. 1
V   302 Å³/f.u.

```
Li10Cr3Fe3Ni2O16
1.0
5.9403 -0.0017 0.0093
-2.9483 5.1753 -0.0136
-0.0233 -0.0400 9.8334
Fe Cr Ni O Li
3 3 2 16 10
direct
0.3250 0.1545 0.2151
0.1541 0.3233 0.7148
0.1549 0.8172 0.7143
0.8178 0.1542 0.2139
0.8174 0.6462 0.2140
0.6484 0.8182 0.7138
0.6558 0.3230 0.4720
0.3190 0.6536 0.9719
0.4985 0.0052 0.3338
0.4741 0.4944 0.8303
0.3095 0.1563 0.5976
0.1458 0.8196 0.0982
0.1446 0.3063 0.0963
0.4964 0.4789 0.3323
0.9699 0.4760 0.3325
0.6553 0.3195 0.0956
0.8241 0.6655 0.5946
0.3261 0.6656 0.5928
0.9825 0.9828 0.3260
0.0047 0.4903 0.8311
0.8255 0.1508 0.6002
0.9768 0.9722 0.8293
0.6615 0.8222 0.0989
0.4779 0.9704 0.8339
0.9871 0.9910 0.5155
0.1827 0.7910 0.4397
0.7938 0.1813 0.9408
0.7917 0.5955 0.9393
0.3197 0.6504 0.2189
0.3769 0.1844 0.9408
0.5978 0.7907 0.4405
0.9838 0.9812 0.0169
0.6514 0.3188 0.7189
0.1900 0.3853 0.4446
```

---

Entry 2:
Crystalline LiCrFe4O8 at its relaxed geometry. Source: Alexandria via LeMat-Bulk, functional GGA+U.

## Properties
Raw total energy   -0.243 Ha/atom
M_tot   19.00 μB per formula unit
Crystal system   monoclinic
Symmetry   C2/m, No. 12
V   149 Å³/f.u.

```
LiCrFe4O8
1.0
-1.1720 0.6572 5.7395
-0.9424 -4.8097 3.2750
4.0602 -1.6556 4.0509
O Li Fe Cr
8 1 4 1
direct
0.7561 0.7561 0.2357
0.7488 0.7488 0.7187
0.2512 0.2512 0.2813
0.2439 0.2439 0.7643
0.2506 0.7759 0.7475
0.2241 0.7494 0.2525
0.7759 0.2506 0.7475
0.7494 0.2241 0.2525
0.0000 0.0000 0.5000
0.6173 0.6173 0.1133
0.5000 0.0000 0.5000
0.3827 0.3827 0.8867
0.0000 0.5000 0.5000
0.0000 0.0000 0.0000
```

---

Entry 3:
Crystalline Li3Cr4FeO8 at its relaxed geometry. Source: Alexandria via LeMat-Bulk, functional GGA+U.

## Properties
Raw total energy   -0.255 Ha/atom
M_tot   17.00 μB per formula unit
Crystal system   monoclinic
Symmetry   C2/m, No. 12
V   155 Å³/f.u.

```
Li3Cr4FeO8
1.0
-1.3163 4.6136 3.7025
-5.1259 3.1751 -0.6086
-4.2435 -0.7707 4.0069
O Li Fe Cr
8 3 1 4
direct
0.2624 0.2624 0.2235
0.2219 0.7396 0.7656
0.7396 0.2219 0.7656
0.2313 0.2313 0.7800
0.2604 0.7781 0.2344
0.7781 0.2604 0.2344
0.7687 0.7687 0.2200
0.7376 0.7376 0.7765
0.0000 0.0000 0.5000
0.5000 0.0000 0.5000
0.0000 0.5000 0.5000
0.5000 0.5000 0.0000
0.0000 0.0000 0.0000
0.0000 0.5000 0.0000
0.5000 0.5000 0.5000
0.5000 0.0000 0.0000
```

---

Entry 4:
Crystalline Li2Cr2FeO6 at its relaxed geometry. Source: Alexandria via LeMat-Bulk, functional GGA+U.

## Properties
Raw total energy   -0.243 Ha/atom
M_tot   8.00 μB per formula unit
Crystal system   orthorhombic
Symmetry   Cmce, No. 64
V   115 Å³/f.u.

```
Li2Cr2FeO6
1.0
2.5546 -4.4197 0.0000
2.5546 4.4197 0.0000
0.0000 0.0000 10.1554
O Li Cr Fe
12 4 4 2
direct
0.1710 0.5075 0.6054
0.5075 0.1710 0.6054
0.3170 0.3170 0.9026
0.3290 0.9925 0.1054
0.1830 0.1830 0.4026
0.4925 0.8290 0.3946
0.6710 0.0075 0.8946
0.8290 0.4925 0.3946
0.0075 0.6710 0.8946
0.9925 0.3290 0.1054
0.6830 0.6830 0.0974
0.8170 0.8170 0.5974
0.1450 0.6450 0.2500
0.8550 0.3550 0.7500
0.3550 0.8550 0.7500
0.6450 0.1450 0.2500
0.3356 0.6644 0.0000
0.6644 0.3356 0.0000
0.1644 0.8356 0.5000
0.8356 0.1644 0.5000
0.0000 0.0000 0.0000
0.5000 0.5000 0.5000
```